A plane-wave DFT calculation with meta-GGA SCAN was carried out for C at its PBEsol-relaxed geometry.

For the density of states at the Fermi level, the calculation gives 0.0 states/eV per cell. Its raw total energy is -9.28 eV/atom. For the calculated formation energy, the calculation gives 79 kJ/mol of atoms.

It has space group Ia-3 (No. 206), with a = 4.452 Å, b = 4.452 Å, c = 4.452 Å, α = 90.00°, β = 90.00° and γ = 90.00°. The asymmetric unit holds C at (0.094, 0.094, 0.094).